1.
Below is crystalline Ho5Bi2SbC at its relaxed geometry, with properties calculated at the GGA-PBE level.

The structure in CIF format:
```
data_Ho5Bi2SbC
_chemical_formula_sum 'Ho5 Bi2 Sb1 C1'
_symmetry_space_group_name_H-M 'P 4/m m m'
_symmetry_Int_Tables_number 123
_symmetry_space_group_name_Hall '-P 4 2'
_cell_length_a 4.698
_cell_length_b 4.698
_cell_length_c 11.174
_cell_angle_alpha 90.00
_cell_angle_beta 90.00
_cell_angle_gamma 90.00
loop_
_atom_site_label
_atom_site_type_symbol
_atom_site_fract_x
_atom_site_fract_y
_atom_site_fract_z
Ho1 Ho 0.000 0.000 0.000
Ho2 Ho 0.000 0.500 0.500
Ho3 Ho 0.500 0.500 0.271
Bi1 Bi 0.000 0.000 0.288
Sb1 Sb 0.500 0.500 0.000
C1 C 0.500 0.500 0.500
```

Properties
The value obtained for the energy is -5.59 eV per atom. The raw formation energy comes out at -0.70 eV per atom.

***

2.
Below is crystalline TlCoCu2 at its relaxed geometry, with properties calculated at the GGA-PBE level.

The structure in CIF format:
```
data_TlCoCu2
_chemical_formula_sum 'Tl1 Co1 Cu2'
_symmetry_space_group_name_H-M 'P 4/m m m'
_symmetry_Int_Tables_number 123
_symmetry_space_group_name_Hall '-P 4 2'
_cell_length_a 3.090
_cell_length_b 3.090
_cell_length_c 6.364
_cell_angle_alpha 90.00
_cell_angle_beta 90.00
_cell_angle_gamma 90.00
loop_
_atom_site_label
_atom_site_type_symbol
_atom_site_fract_x
_atom_site_fract_y
_atom_site_fract_z
Tl1 Tl 0.000 0.000 0.000
Co1 Co 0.000 0.000 0.500
Cu1 Cu 0.500 0.500 0.301
```

Properties
The value obtained for the energy is -4.02 eV per atom. As for the offset from the most stable computed form: 55 meV per atom.

***

3.
Below is crystalline Pr6Mn23 at its relaxed geometry, with properties calculated at the GGA-PBE level.

The structure in CIF format:
```
data_Pr6Mn23
_chemical_formula_sum 'Pr24 Mn92'
_symmetry_space_group_name_H-M 'F m -3 m'
_symmetry_Int_Tables_number 225
_symmetry_space_group_name_Hall '-F 4 2 3'
_cell_length_a 12.510
_cell_length_b 12.510
_cell_length_c 12.510
_cell_angle_alpha 90.00
_cell_angle_beta 90.00
_cell_angle_gamma 90.00
loop_
_atom_site_label
_atom_site_type_symbol
_atom_site_fract_x
_atom_site_fract_y
_atom_site_fract_z
Pr1 Pr 0.000 0.000 0.203
Mn1 Mn 0.000 0.000 0.500
Mn2 Mn 0.000 0.250 0.250
Mn3 Mn 0.121 0.121 0.379
Mn4 Mn 0.178 0.178 0.178
```

Properties
The value obtained for the energy is -8.10 eV per atom.

***

4.
Below is crystalline Sc3AgIr at its relaxed geometry, with properties calculated at the GGA-PBE level.

The structure in CIF format:
```
data_Sc3AgIr
_chemical_formula_sum 'Sc12 Ag4 Ir4'
_symmetry_space_group_name_H-M 'C m c m'
_symmetry_Int_Tables_number 63
_symmetry_space_group_name_Hall '-C 2c 2'
_cell_length_a 4.692
_cell_length_b 18.016
_cell_length_c 4.698
_cell_angle_alpha 90.00
_cell_angle_beta 90.00
_cell_angle_gamma 90.00
loop_
_atom_site_label
_atom_site_type_symbol
_atom_site_fract_x
_atom_site_fract_y
_atom_site_fract_z
Sc1 Sc 0.000 0.068 0.250
Sc2 Sc 0.000 0.250 0.250
Sc3 Sc 0.000 0.431 0.250
Ag1 Ag 0.000 0.341 0.750
Ir1 Ir 0.000 0.155 0.750
```

Properties
The value obtained for the energy is -6.64 eV per atom. As for the offset from the most stable computed form: 0 meV per atom.

***

5.
Below is crystalline ScSiI3 at its relaxed geometry, with properties calculated at the GGA-PBE level.

The structure in CIF format:
```
data_ScSiI3
_chemical_formula_sum 'Sc1 Si1 I3'
_symmetry_space_group_name_H-M 'P m -3 m'
_symmetry_Int_Tables_number 221
_symmetry_space_group_name_Hall '-P 4 2 3'
_cell_length_a 5.739
_cell_length_b 5.739
_cell_length_c 5.739
_cell_angle_alpha 90.00
_cell_angle_beta 90.00
_cell_angle_gamma 90.00
loop_
_atom_site_label
_atom_site_type_symbol
_atom_site_fract_x
_atom_site_fract_y
_atom_site_fract_z
Sc1 Sc 0.000 0.000 0.000
Si1 Si 0.500 0.500 0.500
I1 I 0.000 0.000 0.500
```

Properties
The value obtained for the energy is -3.32 eV per atom. As for the offset from the most stable computed form: 0 meV per atom. The raw formation energy comes out at -0.04 eV per atom.

***

6.
Below is crystalline GaH2F8 at its relaxed geometry, with properties calculated at the GGA-PBE level.

The structure in CIF format:
```
data_GaH2F8
_chemical_formula_sum 'Ga2 H4 F16'
_symmetry_space_group_name_H-M 'C 1 2/m 1'
_symmetry_Int_Tables_number 12
_cell_length_a 8.776
_cell_length_b 6.104
_cell_length_c 5.101
_cell_angle_alpha 90.00
_cell_angle_beta 96.96
_cell_angle_gamma 90.00
loop_
_symmetry_equiv_pos_as_xyz
'x,y,z'
'-x,-y,-z'
'-x,y,-z'
'x,-y,z'
'x+1/2,y+1/2,z'
'-x+1/2,-y+1/2,-z'
'-x+1/2,y+1/2,-z'
'x+1/2,-y+1/2,z'
loop_
_atom_site_label
_atom_site_type_symbol
_atom_site_fract_x
_atom_site_fract_y
_atom_site_fract_z
Ga1 Ga 0.000 0.000 0.000
H1 H 0.211 0.000 0.448
F1 F 0.076 0.226 0.797
F2 F 0.191 0.000 0.241
F3 F 0.250 0.000 0.699
```

Properties
The value obtained for the energy is -3.53 eV per atom.

***

7.
Below is crystalline NaLi2H5Rh at its relaxed geometry, with properties calculated at the GGA-PBE level.

The structure in CIF format:
```
data_NaLi2H5Rh
_chemical_formula_sum 'Na2 Li4 H10 Rh2'
_symmetry_space_group_name_H-M 'I m m m'
_symmetry_Int_Tables_number 71
_symmetry_space_group_name_Hall '-I 2 2'
_cell_length_a 3.706
_cell_length_b 5.009
_cell_length_c 8.931
_cell_angle_alpha 90.00
_cell_angle_beta 90.00
_cell_angle_gamma 90.00
loop_
_atom_site_label
_atom_site_type_symbol
_atom_site_fract_x
_atom_site_fract_y
_atom_site_fract_z
Na1 Na 0.000 0.000 0.000
Li1 Li 0.000 0.500 0.210
H1 H 0.000 0.230 0.362
H2 H 0.000 0.500 0.000
Rh1 Rh 0.000 0.000 0.500
```

Properties
The value obtained for the energy is -3.63 eV per atom.

***

8.
Below is crystalline GaReTeN2 at its relaxed geometry, with properties calculated at the GGA-PBE level.

The structure in CIF format:
```
data_GaReTeN2
_chemical_formula_sum 'Ga1 Re1 Te1 N2'
_symmetry_space_group_name_H-M 'P 4/m m m'
_symmetry_Int_Tables_number 123
_symmetry_space_group_name_Hall '-P 4 2'
_cell_length_a 3.825
_cell_length_b 3.825
_cell_length_c 6.610
_cell_angle_alpha 90.00
_cell_angle_beta 90.00
_cell_angle_gamma 90.00
loop_
_atom_site_label
_atom_site_type_symbol
_atom_site_fract_x
_atom_site_fract_y
_atom_site_fract_z
Ga1 Ga 0.000 0.000 0.000
Re1 Re 0.500 0.500 0.500
Te1 Te 0.000 0.000 0.500
N1 N 0.000 0.500 0.000
```

Properties
The value obtained for the energy is -5.13 eV per atom. As for the offset from the most stable computed form: 1465 meV per atom. The raw formation energy comes out at 1.92 eV per atom.

***

9.
Below is crystalline Rb2BaReCl6 at its relaxed geometry, with properties calculated at the GGA-PBE level.

The structure in CIF format:
```
data_Rb2BaReCl6
_chemical_formula_sum 'Rb8 Ba4 Re4 Cl24'
_symmetry_space_group_name_H-M 'F m -3 m'
_symmetry_Int_Tables_number 225
_symmetry_space_group_name_Hall '-F 4 2 3'
_cell_length_a 10.815
_cell_length_b 10.815
_cell_length_c 10.815
_cell_angle_alpha 90.00
_cell_angle_beta 90.00
_cell_angle_gamma 90.00
loop_
_atom_site_label
_atom_site_type_symbol
_atom_site_fract_x
_atom_site_fract_y
_atom_site_fract_z
Rb1 Rb 0.250 0.250 0.250
Ba1 Ba 0.000 0.000 0.000
Re1 Re 0.000 0.000 0.500
Cl1 Cl 0.000 0.000 0.276
```

Properties
The value obtained for the energy is -4.11 eV per atom. The raw formation energy comes out at -1.37 eV per atom.

***

10.
Below is crystalline Tm5InRu2 at its relaxed geometry, with properties calculated at the GGA-PBE level.

The structure in CIF format:
```
data_Tm5InRu2
_chemical_formula_sum 'Tm20 In4 Ru8'
_symmetry_space_group_name_H-M 'I 4/m c m'
_symmetry_Int_Tables_number 140
_symmetry_space_group_name_Hall '-I 4 2c'
_cell_length_a 7.626
_cell_length_b 7.626
_cell_length_c 13.475
_cell_angle_alpha 90.00
_cell_angle_beta 90.00
_cell_angle_gamma 90.00
loop_
_atom_site_label
_atom_site_type_symbol
_atom_site_fract_x
_atom_site_fract_y
_atom_site_fract_z
Tm1 Tm 0.000 0.000 0.000
Tm2 Tm 0.159 0.341 0.132
In1 In 0.000 0.000 0.250
Ru1 Ru 0.142 0.358 0.500
```

Properties
The value obtained for the energy is -5.90 eV per atom.

***

11.
Below is crystalline ZnPb2F11 at its relaxed geometry, with properties calculated at the GGA-PBE level.

The structure in CIF format:
```
data_ZnPb2F11
_chemical_formula_sum 'Zn4 Pb8 F44'
_symmetry_space_group_name_H-M 'I b a m'
_symmetry_Int_Tables_number 72
_symmetry_space_group_name_Hall '-I 2 2c'
_cell_length_a 8.540
_cell_length_b 10.042
_cell_length_c 10.559
_cell_angle_alpha 90.00
_cell_angle_beta 90.00
_cell_angle_gamma 90.00
loop_
_atom_site_label
_atom_site_type_symbol
_atom_site_fract_x
_atom_site_fract_y
_atom_site_fract_z
Zn1 Zn 0.000 0.000 0.250
Pb1 Pb 0.143 0.284 0.000
F1 F 0.000 0.500 0.000
F2 F 0.083 0.131 0.130
F3 F 0.115 0.311 0.500
F4 F 0.230 0.388 0.150
```

Properties
The value obtained for the energy is -3.83 eV per atom. The raw formation energy comes out at -1.74 eV per atom.

***

12.
Below is crystalline PrIBr at its relaxed geometry, with properties calculated at the GGA-PBE level.

The structure in CIF format:
```
data_PrIBr
_chemical_formula_sum 'Pr4 I4 Br4'
_symmetry_space_group_name_H-M 'C 1 2/m 1'
_symmetry_Int_Tables_number 12
_cell_length_a 14.649
_cell_length_b 5.181
_cell_length_c 10.140
_cell_angle_alpha 90.00
_cell_angle_beta 127.90
_cell_angle_gamma 90.00
loop_
_symmetry_equiv_pos_as_xyz
'x,y,z'
'-x,-y,-z'
'-x,y,-z'
'x,-y,z'
'x+1/2,y+1/2,z'
'-x+1/2,-y+1/2,-z'
'-x+1/2,y+1/2,-z'
'x+1/2,-y+1/2,z'
loop_
_atom_site_label
_atom_site_type_symbol
_atom_site_fract_x
_atom_site_fract_y
_atom_site_fract_z
Pr1 Pr 0.176 0.000 0.048
I1 I 0.081 0.000 0.265
Br1 Br 0.224 0.000 0.797
```

Properties
The value obtained for the energy is -3.98 eV per atom. As for the offset from the most stable computed form: 169 meV per atom. The raw formation energy comes out at -1.31 eV per atom.